## CoPCl2F (PBE with a Hubbard U)

Data for a relaxed structure of CoPCl2F.

Properties
Total magnetization (μB per atom): 0.314
Energy relative to the lowest polymorph listed for this composition (meV per atom): 0.0

Cell: 4.560 4.560 4.362 Å, 90.00 90.00 90.00°
Fractional positions:
Co 0.000 0.000 0.000
P 0.000 0.000 0.500
Cl 0.000 0.500 0.000
Cl 0.500 0.000 0.000
F 0.500 0.500 0.500